DFT (GGA-PBE) results for a relaxed Ba2Cu2Sb crystal.

energy relative to the elements, uncorrected: -1.53 eV per formula unit
volume: 29.096 Å³/atom
magnetization: 0.0 μB per formula unit
raw total energy: -35.4 eV for the cell shown
E above lowest polymorph: 0 meV per atom

abc: 7.8577 7.8577 4.7125
angles: 90.00 90.00 90.00
Sites, in units of the cell vectors:
Ba 0.1899 0.3101 0.0000
Ba 0.3101 0.8101 0.0000
Ba 0.6899 0.1899 0.0000
Ba 0.8101 0.6899 0.0000
Cu 0.1088 0.6088 0.5000
Cu 0.3912 0.1088 0.5000
Cu 0.6088 0.8912 0.5000
Cu 0.8912 0.3912 0.5000
Sb 0.0000 0.0000 0.5000
Sb 0.5000 0.5000 0.5000